(1)
This record from Alexandria describes a geometry-optimized YNiPb2 structure. The functional is PBE.

a = 11.4799 Å, b = 3.7468 Å, c = 4.9641 Å
α = 90.00°, β = 114.21°, γ = 90.00°
Closest atoms and distances in Å follow each position.
Space group Cm (No. 8)
One atom of each set of equivalent atoms:
Y 0.0000 0.0000 0.0000  2 Ni 2.92, 5 Pb 3.24-3.26
Ni 0.2123 0.5000 0.1460  4 Pb 2.81-2.89, 2 Y 2.92
Pb 0.2027 0.0000 0.6943  2 Ni 2.89, 1 Pb 3.21
Pb 0.4087 0.0000 0.4107  2 Ni 2.81

(2)
This record from Alexandria describes a geometry-optimized ZnNiPb structure. The functional is PBE.

a = 6.2712 Å, b = 6.2712 Å, c = 6.2712 Å
α = 90.00°, β = 90.00°, γ = 90.00°
Closest atoms and distances in Å follow each position.
Space group F-43m (No. 216)
One atom of each set of equivalent atoms:
Zn 0.0000 0.0000 0.0000  4 Pb 2.72
Ni 0.0000 0.0000 0.5000  4 Pb 2.72
Pb 0.2500 0.2500 0.7500  4 Zn 2.72, 4 Ni 2.72

(3)
This record from Alexandria describes a geometry-optimized ZnNi3Pb structure. The functional is PBE.

a = 4.3968 Å, b = 4.3968 Å, c = 4.3968 Å
α = 90.00°, β = 90.00°, γ = 90.00°
Closest atoms and distances in Å follow each position.
Space group Pm-3m (No. 221)
One atom of each set of equivalent atoms:
Zn 0.0000 0.0000 0.0000  6 Ni 2.20
Ni 0.0000 0.0000 0.5000  2 Zn 2.20
Pb 0.5000 0.5000 0.5000  12 Ni 3.11

(4)
This record from Alexandria describes a geometry-optimized ZnNiPb structure. The functional is PBE.

a = 4.2537 Å, b = 4.2537 Å, c = 3.5819 Å
α = 90.00°, β = 90.00°, γ = 120.00°
Closest atoms and distances in Å follow each position.
Space group P3m1 (No. 156)
One atom of each set of equivalent atoms:
Zn 0.0000 0.0000 0.0000  3 Ni 2.46
Ni 0.6667 0.3333 0.0073  3 Zn 2.46
Pb 0.3333 0.6667 0.5012  6 Ni 3.03-3.05, 6 Zn 3.04

Total magnetic moment, respectively: 0.0; 0.0; 0.0; 0.0 μB/f.u..
Formation energy from the elements, respectively: -0.097; 0.454; 0.626; 0.189 eV/atom.